VASP calculation (GGA-PBE) on a relaxed Ho2VZn crystal.

Properties
The calculation puts the energy of formation at 548 meV per atom. For the volume, the calculation gives 24.22 A^3/atom. Its density of states at the Fermi level is 6.3 states/eV per cell. The calculation puts the energy above the most stable polymorph in this dataset at 0.5344 eV/atom.

Geometry as POSCAR:
```
Ho2VZn
1.0
3.265 0.000 0.000
1.632 2.828 0.000
1.632 0.943 10.494
V Ho Zn
1 2 1
Cartesian
0.000 0.000 0.000
4.897 2.828 2.867
1.632 0.943 7.627
3.265 1.885 5.247
```

---

VASP calculation (GGA-PBE) on a relaxed CaTc3P3 crystal.

Properties
The calculation puts the energy of formation at -555 meV per atom. For the volume, the calculation gives 18.10 A^3/atom. Its density of states at the Fermi level is 9.6 states/eV per cell.

Geometry as POSCAR:
```
CaTc3P3
1.0
4.354 0.000 0.000
0.000 7.099 -4.099
0.000 0.000 8.198
Tc P Ca
6 6 2
Cartesian
3.266 1.526 0.414
1.089 1.122 7.083
1.089 0.405 1.529
1.089 5.573 3.685
3.266 5.977 -2.984
3.266 6.695 2.570
3.266 4.392 3.303
1.089 2.707 0.796
3.266 2.043 6.251
1.089 6.435 1.356
3.266 0.664 2.742
1.089 5.056 -2.153
1.089 2.366 4.099
3.266 4.733 0.000
```

---

VASP calculation (GGA-PBE) on a relaxed HoErZr crystal.

Properties
The calculation puts the energy of formation at 69 meV per atom. For the volume, the calculation gives 27.87 A^3/atom. Its density of states at the Fermi level is 4.3 states/eV per cell. The calculation puts the energy above the most stable polymorph in this dataset at 0.0000 eV/atom.

Geometry as POSCAR:
```
HoErZr
1.0
3.389 0.000 0.000
0.000 3.389 0.000
-1.694 -1.694 7.281
Zr Er Ho
1 1 1
Cartesian
0.000 0.000 4.848
1.694 1.694 2.578
1.694 1.694 7.136
```

---

VASP calculation (GGA-PBE) on a relaxed Tl2In2I7 crystal.

Properties
The energy relative to the elements, uncorrected is -509 meV/atom. For the volume, the calculation gives 54.82 A^3/atom. Its density of states at the Fermi level is 4.5 states/eV per cell.

Geometry as POSCAR:
```
Tl2In2I7
1.0
-5.626 3.611 -3.363
0.664 -6.910 -5.932
-4.946 -4.061 6.513
I In Tl
7 2 2
Cartesian
-1.372 -2.521 -2.666
-3.257 -1.564 1.515
-6.651 -5.796 -4.296
-5.930 -1.700 -2.284
-3.978 -5.660 -0.497
-8.536 -4.839 -0.115
-2.813 1.806 -1.681
-3.350 -1.044 -1.271
-6.558 -6.316 -1.510
-0.986 -6.072 -2.271
-3.295 -4.899 2.852
```

---

VASP calculation (GGA-PBE) on a relaxed CuAuCl crystal.

Properties
The energy relative to the elements, uncorrected is 82 meV/atom. For the volume, the calculation gives 18.14 A^3/atom. Its density of states at the Fermi level is 1.8 states/eV per cell. The calculation puts the energy above the most stable polymorph in this dataset at 0.1204 eV/atom.

Geometry as POSCAR:
```
CuAuCl
1.0
-6.198 -0.716 1.097
-4.169 -4.403 1.832
5.478 3.128 0.573
Cu Au Cl
1 1 1
Cartesian
-3.370 -1.664 0.952
-10.064 -4.970 2.844
-7.299 -3.604 2.063
```

---

VASP calculation (GGA-PBE) on a relaxed TcIr3 crystal.

Properties
The calculation puts the energy of formation at -124 meV per atom. For the volume, the calculation gives 14.50 A^3/atom. Its density of states at the Fermi level is 3.0 states/eV per cell.

Geometry as POSCAR:
```
TcIr3
1.0
2.748 0.000 0.000
-1.374 2.380 0.000
0.000 0.000 8.866
Tc Ir
1 3
Cartesian
0.000 1.587 6.649
0.000 0.000 4.502
0.000 0.000 8.797
0.000 1.587 2.216
```

---

VASP calculation (GGA-PBE) on a relaxed Pr2Nd3SmSe6 crystal.

Properties
The energy relative to the elements, uncorrected is -1839 meV/atom. For the volume, the calculation gives 26.80 A^3/atom. Its density of states at the Fermi level is 5.6 states/eV per cell.

Geometry as POSCAR:
```
Pr2Nd3SmSe6
1.0
7.338 -0.016 -0.002
-3.682 6.348 -0.002
-1.222 -2.116 6.915
Sm Se Nd Pr
1 6 3 2
Cartesian
0.000 0.000 0.000
3.645 2.134 5.188
-0.021 -0.036 5.171
0.027 4.223 5.188
2.408 -0.007 1.723
-1.210 2.082 1.723
2.456 4.253 1.740
1.217 2.108 3.455
4.857 0.006 3.455
-2.422 4.210 3.455
3.667 2.104 -0.002
-0.010 4.228 -0.002
```

---

VASP calculation (GGA-PBE) on a relaxed PrSiRu crystal.

Properties
The energy relative to the elements, uncorrected is -764 meV/atom. For the volume, the calculation gives 21.03 A^3/atom. Its density of states at the Fermi level is 5.8 states/eV per cell.

Geometry as POSCAR:
```
PrSiRu
1.0
-0.318 3.616 -2.175
-4.218 -0.214 0.261
0.188 3.638 6.029
Pr Ru Si
2 2 2
Cartesian
-1.130 5.669 3.387
-3.201 1.413 0.730
-3.299 4.391 1.580
-1.031 2.690 2.537
-1.222 3.876 0.420
-3.108 3.206 3.697
```